Record 1
Below is NiN3Cl after structural relaxation, with properties calculated at the GGA-PBE level.

The calculated density is 4.31 Mg/m³. The value obtained for the calculated volume is 10.48 Å³/atom. Its space group is Pm-3m. The formation energy (no corrections) comes out at 2252 meV per atom. The value obtained for the calculated total energy is -0.3138 Ry/atom.

abc: 3.7425 3.7425 3.7425
angles: 90.00 90.00 90.00
With the nearest neighbours (Å) after each atom.
Atoms (fractional coordinates):
Ni 0.0000 0.0000 0.0000  6 N 1.87
N 0.0000 0.0000 0.5000  2 Ni 1.87
N 0.0000 0.5000 0.0000  2 Ni 1.87
N 0.5000 0.0000 0.0000  2 Ni 1.87
Cl 0.5000 0.5000 0.5000  12 N 2.65

=====

Record 2
Below is NiNCl2 after structural relaxation, with properties calculated at the GGA-PBE level.

The calculated density is 3.59 Mg/m³. The energy relative to the lowest polymorph listed for this composition is 1519.4 meV/atom. The value obtained for the calculated volume is 16.60 Å³/atom. Its space group is R-3m. The formation energy (no corrections) comes out at 1083 meV per atom. The value obtained for the calculated total energy is -0.2474 Ry/atom.

abc: 3.4069 3.4069 19.8191
angles: 90.00 90.00 120.00
With the nearest neighbours (Å) after each atom.
Atoms (fractional coordinates):
Ni 0.0000 0.0000 0.0000  6 Cl 2.38
Ni 0.3333 0.6667 0.6667  6 Cl 2.38
Ni 0.6667 0.3333 0.3333  6 Cl 2.38
N 0.0000 0.0000 0.5000  2 Cl 1.97
N 0.3333 0.6667 0.1667  2 Cl 1.97
N 0.6667 0.3333 0.8333  2 Cl 1.97
Cl 0.0000 0.0000 0.4008  1 N 1.97
Cl 0.0000 0.0000 0.5992  1 N 1.97
Cl 0.3333 0.6667 0.0675  1 N 1.97
Cl 0.3333 0.6667 0.2658  1 N 1.97
Cl 0.6667 0.3333 0.7342  1 N 1.97
Cl 0.6667 0.3333 0.9325  1 N 1.97

=====

- What is the formula in the first record?
  NiN3Cl